[1]
A relaxed PrBi2Pd6 crystal, computed with PBE.

As for the formation enthalpy at 0 K: -32.3 kJ/mol of atoms.

It has space group P6/mmm (No. 191), with a = 5.6531 Å, b = 5.6531 Å, c = 7.3784 Å, α = 90.00°, β = 90.00° and γ = 120.00°. The inequivalent atoms are Pr at (0.0000, 0.0000, 0.0000), Bi at (0.3333, 0.6667, 0.5000) and Pd at (0.0000, 0.5000, 0.1844).

---

[2]
A relaxed CoSb3 crystal, computed with PBE.

The uncorrected formation energy is 10 kJ/mol of atoms. The calculation puts the energy above the most stable polymorph in this dataset at 1.172 eV/f.u.

It has space group Cm (No. 8), with a = 6.1808 Å, b = 11.6011 Å, c = 3.2023 Å, α = 90.00°, β = 121.23° and γ = 90.00°. The inequivalent atoms are Co at (0.0000, 0.0000, 0.0000), Sb at (0.1294, 0.5000, 0.1293) and Sb at (0.1844, 0.1573, 0.6860).

---

[3]
A relaxed SrTlSi2 crystal, computed with PBE.

The uncorrected formation energy is 3 kJ/mol of atoms. The calculation puts the energy above the most stable polymorph in this dataset at 0.603 eV/f.u.

It has space group P4mm (No. 99), with a = 3.5923 Å, b = 3.5923 Å, c = 7.3407 Å, α = 90.00°, β = 90.00° and γ = 90.00°. The inequivalent atoms are Sr at (0.0000, 0.0000, 0.0000), Tl at (0.5000, 0.5000, 0.3302), Si at (0.0000, 0.0000, 0.5864) and Si at (0.5000, 0.5000, 0.7068).

---

no.,total magnetization (μB/atom)
1,0.000
2,0.000
3,0.000